Re2As | PBE-GGA | optimized geometry

Computed properties:
E: -0.3512 hartree per atom
formation enthalpy at 0 K: 0.292 eV/atom
symmetry: Cmcm

a = 4.644 Å, b = 4.644 Å, c = 4.620 Å
α = 90.00°, β = 90.00°, γ = 113.14°
Fractional positions:
1 As 0.208 0.208 0.250
2 Re 0.492 0.835 0.250
3 As 0.792 0.792 0.750
4 Re 0.835 0.492 0.250
5 Re 0.508 0.165 0.750
6 Re 0.165 0.508 0.750

Cu5Re3H12 | PBE-GGA | optimized geometry

Computed properties:
E: -0.1666 hartree per atom
symmetry: Ia-3d

a = 9.168 Å, b = 9.168 Å, c = 9.168 Å
α = 109.47°, β = 109.47°, γ = 109.47°
Fractional positions:
1 H 0.829 0.917 0.059
2 H 0.171 0.088 0.730
3 Re 0.875 0.125 0.250
4 Cu 0.875 0.250 0.625
5 Re 0.625 0.250 0.375
6 Re 0.250 0.625 0.875
7 H 0.270 0.858 0.941
8 H 0.559 0.230 0.142
9 H 0.858 0.270 0.441
10 H 0.088 0.171 0.230
11 H 0.417 0.059 0.329
12 H 0.917 0.829 0.559
13 H 0.583 0.941 0.671
14 H 0.412 0.270 0.329
15 H 0.358 0.417 0.088
16 Cu 0.375 0.125 0.750
17 H 0.941 0.583 0.171
18 H 0.671 0.230 0.588
19 Cu 0.125 0.375 0.250
20 Re 0.750 0.875 0.625
21 Cu 0.250 0.375 0.625
22 H 0.770 0.441 0.358
23 Cu 0.625 0.750 0.875
24 Cu 0.125 0.750 0.375
25 Re 0.250 0.125 0.375
26 H 0.671 0.441 0.583
27 Re 0.750 0.375 0.125
28 Cu 0.625 0.875 0.250
29 H 0.358 0.941 0.770
30 Re 0.125 0.250 0.875
31 H 0.730 0.142 0.059
32 H 0.912 0.083 0.642
33 H 0.441 0.770 0.858
34 H 0.588 0.730 0.671
35 H 0.412 0.142 0.583
36 H 0.559 0.329 0.917
37 Cu 0.000 0.500 0.500
38 H 0.912 0.829 0.770
39 H 0.059 0.642 0.730
40 Cu 0.750 0.625 0.375
41 H 0.088 0.917 0.358
42 H 0.770 0.329 0.912
43 H 0.917 0.088 0.858
44 H 0.730 0.588 0.171
45 H 0.270 0.412 0.829
46 H 0.588 0.858 0.417
47 Cu 0.375 0.250 0.125
48 Cu 0.000 0.000 0.000
49 Re 0.875 0.750 0.125
50 Cu 0.000 0.500 0.000
51 H 0.142 0.730 0.559
52 H 0.829 0.912 0.270
53 Re 0.375 0.750 0.625
54 Cu 0.875 0.625 0.750
55 H 0.583 0.642 0.412
56 H 0.142 0.412 0.083
57 H 0.642 0.583 0.912
58 Cu 0.500 0.000 0.500
59 H 0.941 0.358 0.270
60 Cu 0.750 0.125 0.875
61 Cu 0.500 0.000 0.000
62 H 0.171 0.083 0.941
63 Re 0.375 0.625 0.250
64 H 0.230 0.671 0.088
65 Cu 0.000 0.000 0.500
66 H 0.083 0.912 0.142
67 Cu 0.500 0.500 0.000
68 H 0.059 0.417 0.829
69 Re 0.625 0.375 0.750
70 Cu 0.250 0.875 0.125
71 H 0.230 0.559 0.642
72 Cu 0.500 0.500 0.500
73 H 0.329 0.559 0.417
74 H 0.083 0.171 0.441
75 H 0.417 0.358 0.588
76 Re 0.125 0.875 0.750
77 H 0.441 0.671 0.083
78 H 0.329 0.770 0.412
79 H 0.642 0.059 0.230
80 H 0.858 0.588 0.917

Te4Mo3WSe4 | PBE-GGA | optimized geometry

Computed properties:
formation energy without anion corrections: -0.404 eV per atom
distance to the lowest polymorph of the same formula: 0.23 eV/f.u.
E: -0.2352 hartree per atom
symmetry: P3m1

a = 3.437 Å, b = 3.437 Å, c = 29.005 Å
α = 90.00°, β = 90.00°, γ = 120.00°
Fractional positions:
1 Se 0.000 0.000 0.700
2 Se 0.000 0.000 0.812
3 Te 0.000 0.000 0.309
4 Mo 0.000 0.000 0.996
5 Mo 0.333 0.667 0.245
6 W 0.000 0.000 0.506
7 Te 0.333 0.667 0.442
8 Te 0.000 0.000 0.181
9 Se 0.333 0.667 0.053
10 Te 0.333 0.667 0.570
11 Mo 0.333 0.667 0.756
12 Se 0.333 0.667 0.940

Na2Pu2TiS6 | PBE-GGA | optimized geometry

Computed properties:
formation energy without anion corrections: -1.453 eV per atom
E: -0.2671 hartree per atom
symmetry: C2/m

a = 6.648 Å, b = 6.648 Å, c = 7.078 Å
α = 99.13°, β = 99.13°, γ = 119.31°
Last column: magnetic moment on the atom in μB.
Fractional positions:
1 Na 0.169 0.831 0.000  0.00
2 S 0.617 0.929 0.286  -0.10
3 Ti 0.000 0.000 0.500  0.56
4 Pu 0.666 0.334 0.500  4.88
5 S 0.929 0.617 0.286  -0.10
6 S 0.233 0.233 0.287  -0.09
7 S 0.767 0.767 0.713  -0.09
8 S 0.071 0.383 0.714  -0.10
9 Na 0.831 0.169 0.000  0.00
10 Pu 0.334 0.666 0.500  4.88
11 S 0.383 0.071 0.714  -0.10

Ca3PmGa4 | PBE-GGA | optimized geometry

Computed properties:
E: -0.1223 hartree per atom
formation enthalpy at 0 K: -0.470 eV/atom
symmetry: P4/mmm

a = 3.647 Å, b = 3.647 Å, c = 14.872 Å
α = 90.00°, β = 90.00°, γ = 90.00°
Fractional positions:
1 Ga 0.000 0.000 0.874
2 Ca 0.500 0.500 0.500
3 Ga 0.000 0.000 0.126
4 Pm 0.500 0.500 0.000
5 Ca 0.500 0.500 0.748
6 Ca 0.500 0.500 0.252
7 Ga 0.000 0.000 0.625
8 Ga 0.000 0.000 0.375

La3Dy8Th | PBE-GGA | optimized geometry

Computed properties:
E: -0.1703 hartree per atom
formation enthalpy at 0 K: 0.283 eV/atom
symmetry: Immm

a = 8.789 Å, b = 8.789 Å, c = 8.789 Å
α = 98.71°, β = 96.68°, γ = 137.08°
Fractional positions:
1 Dy 0.173 0.248 0.421
2 Th 0.000 0.000 0.000
3 Dy 0.002 0.250 0.752
4 La 0.500 0.263 0.763
5 Dy 0.497 0.250 0.248
6 Dy 0.173 0.752 0.925
7 Dy 0.827 0.248 0.075
8 Dy 0.998 0.750 0.248
9 La 0.500 0.737 0.237
10 Dy 0.503 0.750 0.752
11 La 0.000 0.500 0.500
12 Dy 0.827 0.752 0.579

Tl3CdIn2Hg6 | PBE-GGA | optimized geometry

Computed properties:
E: -0.0471 hartree per atom
formation enthalpy at 0 K: -0.007 eV/atom
symmetry: C2/m

a = 5.055 Å, b = 8.435 Å, c = 11.554 Å
α = 135.39°, β = 102.64°, γ = 90.00°
Fractional positions:
1 In 0.833 0.668 0.667
2 Hg 0.000 0.232 0.999
3 Hg 0.664 0.092 0.328
4 Tl 0.166 0.832 0.333
5 Tl 0.834 0.168 0.667
6 Tl 0.500 0.500 0.000
7 Hg 0.335 0.436 0.669
8 Hg 0.336 0.908 0.672
9 Hg 0.000 0.768 0.001
10 In 0.167 0.332 0.333
11 Cd 0.500 0.000 0.000
12 Hg 0.665 0.564 0.331

Ca4ZnPd4 | PBE-GGA | optimized geometry

Computed properties:
E: -0.1430 hartree per atom
formation enthalpy at 0 K: -0.552 eV/atom
symmetry: P4_2/n

a = 5.805 Å, b = 8.667 Å, c = 8.667 Å
α = 90.00°, β = 90.00°, γ = 90.00°
Fractional positions:
1 Ca 0.111 0.960 0.316
2 Ca 0.389 0.316 0.540
3 Pd 0.608 0.491 0.136
4 Pd 0.108 0.636 0.509
5 Pd 0.892 0.136 0.009
6 Ca 0.389 0.184 0.960
7 Ca 0.889 0.460 0.816
8 Ca 0.611 0.816 0.040
9 Pd 0.892 0.364 0.491
10 Ca 0.111 0.540 0.184
11 Pd 0.108 0.864 0.991
12 Pd 0.608 0.009 0.364
13 Ca 0.611 0.684 0.460
14 Zn 0.750 0.250 0.250
15 Pd 0.392 0.991 0.636
16 Pd 0.392 0.509 0.864
17 Zn 0.250 0.750 0.750
18 Ca 0.889 0.040 0.684

KMnPCl2 | PBE-GGA | optimized geometry

Computed properties:
formation energy without anion corrections: -0.717 eV per atom
distance to the lowest polymorph of the same formula: 0.00 eV/f.u.
E: -0.1687 hartree per atom
symmetry: P4/mmm

a = 5.206 Å, b = 5.206 Å, c = 4.521 Å
α = 90.00°, β = 90.00°, γ = 90.00°
Last column: magnetic moment on the atom in μB.
Fractional positions:
1 Cl 0.000 0.500 0.000  -0.02
2 P 0.000 0.000 0.500  -0.41
3 K 0.500 0.500 0.500  0.00
4 Cl 0.500 0.000 0.000  -0.02
5 Mn 0.000 0.000 0.000  3.56

HfSnOF2 | PBE-GGA | optimized geometry

Computed properties:
formation energy without anion corrections: -2.177 eV per atom
distance to the lowest polymorph of the same formula: 0.00 eV/f.u.
E: -0.2465 hartree per atom
symmetry: P4/mmm

a = 4.434 Å, b = 4.434 Å, c = 4.045 Å
α = 90.00°, β = 90.00°, γ = 90.00°
Fractional positions:
1 F 0.000 0.500 0.000
2 Hf 0.000 0.000 0.000
3 F 0.500 0.000 0.000
4 Sn 0.500 0.500 0.500
5 O 0.000 0.000 0.500

Ce2SeBr5 | PBE-GGA | optimized geometry

Computed properties:
formation energy without anion corrections: -1.437 eV per atom
E: -0.1617 hartree per atom
symmetry: Immm

a = 4.664 Å, b = 7.416 Å, c = 7.416 Å
α = 78.43°, β = 71.67°, γ = 71.67°
Last column: magnetic moment on the atom in μB.
Fractional positions:
1 Ce 0.722 0.778 0.778  0.63
2 Ce 0.278 0.222 0.222  0.63
3 Br 0.000 0.500 0.500  -0.04
4 Se 0.000 0.000 0.000  -0.08
5 Br 0.668 0.511 0.154  -0.03
6 Br 0.332 0.489 0.846  -0.03
7 Br 0.332 0.846 0.489  -0.03
8 Br 0.668 0.154 0.511  -0.03

K2UTi3O12 | PBE-GGA | optimized geometry

Computed properties:
formation energy without anion corrections: -2.302 eV per atom
E: -0.2820 hartree per atom
symmetry: R-3m

a = 7.508 Å, b = 7.508 Å, c = 7.508 Å
α = 58.30°, β = 58.30°, γ = 58.30°
Last column: magnetic moment on the atom in μB.
Fractional positions:
1 K 0.620 0.620 0.620  0.00
2 Ti 0.000 0.500 0.000  -0.09
3 Ti 0.500 0.000 0.000  -0.09
4 Ti 0.000 0.000 0.500  -0.09
5 U 0.000 0.000 0.000  0.05
6 O 0.671 0.071 0.071  0.16
7 O 0.310 0.935 0.310  0.38
8 O 0.690 0.690 0.065  0.38
9 O 0.310 0.310 0.935  0.38
10 O 0.071 0.071 0.671  0.16
11 O 0.929 0.929 0.329  0.16
12 K 0.380 0.380 0.380  0.00
13 O 0.329 0.929 0.929  0.16
14 O 0.935 0.310 0.310  0.38
15 O 0.071 0.671 0.071  0.16
16 O 0.065 0.690 0.690  0.38
17 O 0.929 0.329 0.929  0.16
18 O 0.690 0.065 0.690  0.38

BaRhSe2 | PBE-GGA | optimized geometry

Computed properties:
formation energy without anion corrections: -0.902 eV per atom
distance to the lowest polymorph of the same formula: 0.22 eV/f.u.
E: -0.1824 hartree per atom
symmetry: R-3m

a = 4.279 Å, b = 4.279 Å, c = 6.657 Å
α = 71.24°, β = 71.24°, γ = 60.03°
Fractional positions:
1 Se 0.471 0.471 0.587
2 Se 0.029 0.029 0.913
3 Rh 0.750 0.750 0.750
4 Ba 0.250 0.250 0.250

Nd2Al2NiPt5 | PBE-GGA | optimized geometry

Computed properties:
E: -0.2235 hartree per atom
formation enthalpy at 0 K: -0.781 eV/atom
symmetry: P4/mbm

a = 3.633 Å, b = 9.952 Å, c = 9.952 Å
α = 90.00°, β = 90.00°, γ = 90.00°
Fractional positions:
1 Al 0.000 0.123 0.623
2 Pt 0.500 0.442 0.301
3 Pt 0.500 0.301 0.558
4 Pt 0.500 0.801 0.942
5 Al 0.000 0.877 0.377
6 Al 0.000 0.377 0.123
7 Pt 0.500 0.942 0.199
8 Pt 0.500 0.699 0.442
9 Al 0.000 0.623 0.877
10 Pt 0.500 0.199 0.058
11 Pt 0.500 0.000 0.500
12 Ni 0.000 0.000 0.000
13 Nd 0.000 0.678 0.178
14 Pt 0.500 0.058 0.801
15 Pt 0.500 0.558 0.699
16 Nd 0.000 0.178 0.322
17 Ni 0.000 0.500 0.500
18 Nd 0.000 0.322 0.822
19 Pt 0.500 0.500 0.000
20 Nd 0.000 0.822 0.678

TbGaB | PBE-GGA | optimized geometry

Computed properties:
E: -0.1856 hartree per atom
formation enthalpy at 0 K: -0.273 eV/atom
symmetry: C2/m

a = 4.394 Å, b = 4.411 Å, c = 8.562 Å
α = 120.96°, β = 90.00°, γ = 119.87°
Fractional positions:
1 Ga 0.217 0.435 0.577
2 B 0.422 0.844 0.886
3 B 0.578 0.156 0.114
4 Ga 0.783 0.565 0.423
5 Tb 0.057 0.115 0.837
6 Tb 0.943 0.885 0.163

HfZnPd | PBE-GGA | optimized geometry

Computed properties:
E: -0.2197 hartree per atom
formation enthalpy at 0 K: -0.505 eV/atom
symmetry: I4mm

a = 3.400 Å, b = 3.400 Å, c = 8.776 Å
α = 90.00°, β = 90.00°, γ = 90.00°
Fractional positions:
1 Hf 0.500 0.500 0.877
2 Pd 0.000 0.000 0.702
3 Zn 0.000 0.000 0.049
4 Pd 0.500 0.500 0.202
5 Hf 0.000 0.000 0.377
6 Zn 0.500 0.500 0.549

Si2TeSe | PBE-GGA | optimized geometry

Computed properties:
formation energy without anion corrections: -0.065 eV per atom
distance to the lowest polymorph of the same formula: 0.00 eV/f.u.
E: -0.1629 hartree per atom
symmetry: R3m

a = 8.644 Å, b = 8.644 Å, c = 8.644 Å
α = 25.12°, β = 25.12°, γ = 25.12°
Fractional positions:
1 Si 0.992 0.992 0.992
2 Si 0.263 0.263 0.263
3 Te 0.535 0.535 0.535
4 Se 0.710 0.710 0.710